This record from the Alexandria database describes a geometry-optimized Fe2GeRh2 structure. The functional is PBE.

**Calculated formation energy**: 0.147 eV per atom
**Total energy**: -7.1023 eV/atom
**Total moment**: 13.61 μB/cell
**Space-group type**: P4/mbm

The structure in extended XYZ format:
```
10
Lattice="7.174 0.000 0.000 0.000 7.174 0.000 0.000 0.000 2.834" Properties=species:S:1:pos:R:3 pbc="T T T"
Fe 1.087 2.500 0.000
Fe 2.500 6.087 0.000
Fe 4.674 1.087 0.000
Fe 6.087 4.674 0.000
Ge 0.000 0.000 0.000
Ge 3.587 3.587 0.000
Rh 1.024 4.611 1.417
Rh 2.563 1.024 1.417
Rh 4.611 6.150 1.417
Rh 6.150 2.563 1.417
```